[1]
Density functional theory data (meta-GGA SCAN) for a PBEsol-optimized structure of TlHgBi2.

Cell lengths 6.702, 6.702, 13.472 Å; angles 90.00, 90.00, 90.00 degrees
Space group I-42d (No. 122)
Unique sites:
Tl: 0.000 0.000 0.000 (multiplicity 4)
Hg: 0.000 0.000 0.500 (multiplicity 4)
Bi: 0.237 0.250 0.625 (multiplicity 8)

***

[2]
Density functional theory data (meta-GGA SCAN) for a PBEsol-optimized structure of Tl2Hg2Bi.

Properties
relative energy among the computed polymorphs = 0.0 kJ per mole of atoms

Cell lengths 7.744, 7.744, 4.704 Å; angles 90.00, 90.00, 90.00 degrees
Space group P4/mbm (No. 127)
Unique sites:
Tl: 0.174 0.326 0.000 (multiplicity 4)
Hg: 0.131 0.631 0.500 (multiplicity 4)
Bi: 0.000 0.000 0.500 (multiplicity 2)

***

| no. | calculated total energy (eV/atom) | spin magnetization (μB/f.u.) | E_form (eV per atom) |
| --- | --- | --- | --- |
| 1 | -74.26 | 0.0 | 0.157 |
| 2 | -71.91 | 0.0 | 0.016 |